Entry 1:
14
Lattice="0.000 4.672 4.672 4.672 0.000 4.672 4.672 4.672 0.000" Properties=species:S:1:pos:R:3 comment="LiAg2F4, relaxed, DFT PBE-GGA" sg="No. 227" dft_energy_ev_per_atom=-3.7009 e_form_raw_ev_per_fu=-10.805 pbc="T T T"
Li 1.168 1.168 1.168
Li 8.177 8.177 8.177
Ag 4.672 2.336 2.336
Ag 2.336 4.672 2.336
Ag 2.336 2.336 4.672
Ag 4.672 4.672 4.672
F 7.041 4.640 4.640
F 2.304 2.304 2.304
F 4.704 4.704 2.304
F 4.704 2.304 4.704
F 4.640 7.041 4.640
F 4.640 4.640 7.041
F 7.041 7.041 7.041
F 2.304 4.704 4.704

Entry 2:
10
Lattice="-4.437 4.437 2.805 4.437 -4.437 2.805 4.437 4.437 -2.805" Properties=species:S:1:pos:R:3 comment="Ho5P4S, relaxed, DFT PBE-GGA" sg="No. 87" dft_energy_ev_per_atom=-6.6130 e_form_raw_ev_per_fu=-17.474 pbc="T T T"
Ho 0.000 0.000 0.000
Ho 3.535 1.743 0.000
Ho 2.695 -0.902 2.805
Ho 1.743 5.339 0.000
Ho 0.902 2.695 2.805
P 6.226 0.893 0.000
P 0.893 2.649 0.000
P 3.545 1.788 2.805
P -1.788 3.545 2.805
S 0.000 0.000 2.805